Density functional theory data (PBE with a Hubbard U) for Be2CoAsO6 after structural relaxation.

The value obtained for the mass density is 4.50 g/cm³. The calculation puts the calculated total energy at -6.39 eV per atom. The total magnetization is 0.00 μB per cell.

The space group is C2/c (No. 15) and the conventional cell measures 9.781, 8.099 and 5.065 Å, with angles of 90.00, 114.25 and 90.00 degrees. The distinct sites, in fractional coordinates, are Be at (0.201, 0.074, 0.169), Co at (0.000, 0.409, 0.250), As at (0.000, 0.222, 0.750), O at (0.100, 0.243, 0.140), O at (0.111, 0.410, 0.668) and O at (0.149, 0.071, 0.818).